DFT (PBE) results for a relaxed Cs3VBr7 crystal.

Computed properties:
spin magnetization	0.09	μB per atom
density of states at the Fermi level	15.24	states/eV/cell
formation energy from raw total energies	-1334.2	meV per atom

Unit cell a=10.716 b=10.716 c=7.611 alpha=90.00 beta=90.00 gamma=90.00
Space group P4/mbm (No. 127)
Symmetry-distinct sites (fractional):
Cs (0.000, 0.000, 0.000) [2 per cell]
Cs (0.177, 0.323, 0.500) [4 per cell]
V (0.000, 0.500, 0.000) [2 per cell]
Br (0.000, 0.000, 0.500) [2 per cell]
Br (0.116, 0.616, 0.232) [8 per cell]
Br (0.165, 0.335, 0.000) [4 per cell]